# 1
VCdSnBr2: relaxed, PBE-GGA.

a = 5.7418 Å, b = 5.7418 Å, c = 5.5781 Å
α = 90.00°, β = 90.00°, γ = 90.00°
Atoms (fractional coordinates):
V1 0.0000 0.0000 0.0000
Cd1 0.5000 0.5000 0.0000
Sn1 0.0000 0.0000 0.5000
Br1 0.0000 0.5000 0.5000
Br2 0.5000 0.0000 0.5000

Values from the calculation:
size of the total moment = 3.6 μB/f.u.
space-group type = P4/mmm, No. 123

=====

# 2
CdSnWBr2: relaxed, PBE-GGA.

a = 5.1805 Å, b = 5.1805 Å, c = 6.2635 Å
α = 90.00°, β = 90.00°, γ = 90.00°
Atoms (fractional coordinates):
Cd1 0.0000 0.0000 0.0000
Sn1 0.0000 0.0000 0.5000
W1 0.5000 0.5000 0.5000
Br1 0.0000 0.5000 0.0000
Br2 0.5000 0.0000 0.0000

Values from the calculation:
size of the total moment = 4.3 μB/f.u.
space-group type = P4/mmm, No. 123

=====

# 3
YCd2SnBr: relaxed, PBE-GGA.

a = 6.0212 Å, b = 6.0212 Å, c = 5.3024 Å
α = 90.00°, β = 90.00°, γ = 90.00°
Atoms (fractional coordinates):
Y1 0.0000 0.0000 0.0000
Cd1 0.0000 0.5000 0.0000
Cd2 0.5000 0.0000 0.0000
Sn1 0.5000 0.5000 0.5000
Br1 0.0000 0.0000 0.5000

Values from the calculation:
size of the total moment = 0.0 μB/f.u.
space-group type = P4/mmm, No. 123

=====

# 4
SrCd3Br: relaxed, PBE-GGA.

a = 5.8305 Å, b = 5.8305 Å, c = 5.8305 Å
α = 90.00°, β = 90.00°, γ = 90.00°
Atoms (fractional coordinates):
Sr1 0.0000 0.0000 0.0000
Cd1 0.0000 0.5000 0.5000
Cd2 0.5000 0.0000 0.5000
Cd3 0.5000 0.5000 0.0000
Br1 0.5000 0.5000 0.5000

Values from the calculation:
size of the total moment = 0.0 μB/f.u.
space-group type = Pm-3m, No. 221

=====

# 5
SrCd3Br: relaxed, PBE-GGA.

a = 6.5768 Å, b = 6.5768 Å, c = 6.5768 Å
α = 90.00°, β = 90.00°, γ = 90.00°
Atoms (fractional coordinates):
Sr1 0.0000 0.0000 0.0000
Cd1 0.0000 0.0000 0.5000
Cd2 0.0000 0.5000 0.0000
Cd3 0.5000 0.0000 0.0000
Br1 0.5000 0.5000 0.5000

Values from the calculation:
size of the total moment = 0.0 μB/f.u.
space-group type = Pm-3m, No. 221

=====

# 6
SrCdBr4: relaxed, PBE-GGA.

a = 6.9947 Å, b = 4.3246 Å, c = 7.4788 Å
α = 90.00°, β = 94.42°, γ = 90.00°
Atoms (fractional coordinates):
Sr1 0.0000 0.0000 0.0000
Cd1 0.0000 0.5000 0.5000
Br1 0.2228 0.0000 0.3723
Br2 0.2319 0.5000 0.8269
Br3 0.7681 0.5000 0.1731
Br4 0.7772 0.0000 0.6277

Values from the calculation:
size of the total moment = 0.0 μB/f.u.
space-group type = P2/m, No. 10

=====

Quick rundown of ΔE_f (raw), same order as above: 9.03, 29.47, 4.37, 2.67, 4.53, -33.66 kcal/mol of atoms